1.
A geometry-optimized CsZnSbTeHO structure, computed with PBE.

**Offset from the most stable computed form**: 113 meV per atom
**Symmetry**: No. 1
**N(E_F)**: 0.78 states/eV/cell

Lattice parameters (Å, degrees): 5.3892 5.9864 6.2286 86.52 83.85 74.44
Element x y z (fractional)
Cs1 0.0000 0.0000 0.0000
Zn1 0.5617 0.5835 0.3255
Sb1 0.1485 0.4360 0.4524
Te1 0.5729 0.9655 0.5392
H1 0.9055 0.7225 0.5656
O1 0.9180 0.4629 0.2130

2.
A geometry-optimized PmAl3ZnNi structure, computed with PBE.

**Energy of formation from the pure elements**: -0.292 eV/atom
**Symmetry**: No. 63
**N(E_F)**: 4.29 states/eV/cell

Lattice parameters (Å, degrees): 6.8985 6.8985 5.8527 90.00 90.00 128.09
Element x y z (fractional)
Pm1 0.2180 0.7820 0.7500
Pm2 0.7820 0.2180 0.2500
Al1 0.2156 0.2156 0.0000
Al2 0.2156 0.2156 0.5000
Al3 0.3659 0.6341 0.2500
Al4 0.6341 0.3659 0.7500
Al5 0.7844 0.7844 0.0000
Al6 0.7844 0.7844 0.5000
Zn1 0.1532 0.8468 0.2500
Zn2 0.8468 0.1532 0.7500
Ni1 0.4318 0.5682 0.7500
Ni2 0.5682 0.4318 0.2500

3.
A geometry-optimized PrMg4Zn structure, computed with PBE.

**Energy of formation from the pure elements**: -0.133 eV/atom
**Symmetry**: No. 51
**N(E_F)**: 5.50 states/eV/cell

Lattice parameters (Å, degrees): 8.3834 4.4006 7.7892 90.00 90.00 90.00
Element x y z (fractional)
Pr1 0.2500 0.0000 0.1177
Pr2 0.7500 0.0000 0.8823
Mg1 0.0000 0.0000 0.5000
Mg2 0.0594 0.5000 0.8087
Mg3 0.2500 0.5000 0.4483
Mg4 0.4406 0.5000 0.8087
Mg5 0.5000 0.0000 0.5000
Mg6 0.5594 0.5000 0.1913
Mg7 0.7500 0.5000 0.5517
Mg8 0.9406 0.5000 0.1913
Zn1 0.2500 0.0000 0.7182
Zn2 0.7500 0.0000 0.2818

The highest N(E_F) belongs to which entry? PrMg4Zn